[1]
Computed, not measured: LiZnHg2 after structural relaxation at the GGA-PBE level of DFT.

```
LiZnHg2
1.0
8.7644 -0.0850 -0.0502
8.1460 3.2350 -0.0502
8.1460 1.5174 2.8574
Hg Li Zn
2 1 1
Cartesian
25.0193 4.6604 2.7529 Hg
12.5655 2.3406 1.3826 Hg
6.2641 1.1668 0.6893 Li
18.7924 3.5005 2.0678 Zn
```

Computed properties:
Size of the total moment: 0.000 μB/cell
Volume: 21.1 Å³ per atom
Formation energy: -32.6 kJ/mol of formula units
D(E_F): 1.31 states/eV/f.u.

[2]
Computed, not measured: SiAsPC after structural relaxation at the GGA-PBE level of DFT.

```
SiAsPC
1.0
-1.5368 0.6333 -2.3397
-4.2026 0.2845 1.0883
-1.0933 5.0818 2.0564
C Si As P
1 1 1 1
Cartesian
-1.7166 1.5858 -0.0984 C
-4.0249 5.1649 2.3520 Si
-2.6844 3.2124 0.9830 As
-5.7869 2.1820 -0.7732 P
```

Computed properties:
Formation energy (no corrections): 397 meV/atom
Relative energy among the computed polymorphs: 0.1047 eV/atom
Size of the total moment: 0.000 μB/cell
Volume: 15.4 Å³ per atom
D(E_F): 1.03 states/eV/f.u.

[3]
Computed, not measured: ScBiN after structural relaxation at the GGA-PBE level of DFT.

```
ScBiN
1.0
0.9439 -1.6383 7.9552
7.2909 -3.6094 -0.8219
-2.3643 6.0517 -3.0688
N Bi Sc
4 4 4
Cartesian
1.5508 2.1613 2.3622 N
6.3784 -2.6693 3.4857 N
2.7330 -0.8646 3.8966 N
1.0788 2.9805 -1.6154 N
5.2329 1.2992 0.0399 Bi
0.7109 1.3900 0.2019 Bi
5.1596 -0.5861 3.8627 Bi
3.8111 -1.4808 -0.3639 Bi
5.5084 -3.0559 1.6432 Sc
2.7395 0.4628 2.3031 Sc
-0.0424 1.3267 6.1501 Sc
2.7265 -2.1919 5.4902 Sc
```

Computed properties:
Formation energy (no corrections): -178 meV/atom
Size of the total moment: 0.000 μB/cell
Volume: 21.5 Å³ per atom
D(E_F): 1.06 states/eV/f.u.

[4]
Computed, not measured: La2Al4Pd3Rh after structural relaxation at the GGA-PBE level of DFT.

```
La2Al4Pd3Rh
1.0
4.4082 0.0000 0.0000
0.0000 4.4082 0.0000
0.0000 0.0000 10.1216
Rh Pd Al La
1 3 4 2
Cartesian
2.2041 2.2041 5.0608 Rh
0.0000 2.2041 1.3167 Pd
0.0000 0.0000 5.0608 Pd
2.2041 0.0000 8.8050 Pd
2.2041 0.0000 6.2720 Al
2.2041 2.2041 0.0000 Al
0.0000 2.2041 3.8496 Al
0.0000 0.0000 0.0000 Al
2.2041 0.0000 2.5767 La
0.0000 2.2041 7.5449 La
```

Computed properties:
Size of the total moment: 0.001 μB/cell
Volume: 19.7 Å³ per atom
Formation energy: -845.7 kJ/mol of formula units
D(E_F): 8.04 states/eV/f.u.

[5]
Computed, not measured: LuSbPdPt after structural relaxation at the GGA-PBE level of DFT.

```
LuSbPdPt
1.0
-2.1564 -1.7176 3.9051
-3.2716 -3.4618 -0.4035
0.9937 -4.4179 1.5312
Sb Lu Pd Pt
1 1 1 1
Cartesian
-2.2172 -4.7986 2.5164 Sb
0.0000 0.0000 0.0000 Lu
-1.1086 -2.3993 1.2582 Pd
-3.3258 -7.1979 3.7746 Pt
```

Computed properties:
Formation energy (no corrections): -859 meV/atom
Size of the total moment: 0.000 μB/cell
Volume: 19.3 Å³ per atom
D(E_F): 3.11 states/eV/f.u.

[6]
Computed, not measured: PmDy4Er6 after structural relaxation at the GGA-PBE level of DFT.

```
PmDy4Er6
1.0
7.6501 0.0000 0.0000
0.0000 7.6501 0.0000
-3.8251 -3.8251 6.4328
Pm Dy Er
1 4 6
Cartesian
3.8251 3.8251 0.0000 Pm
1.2780 1.2780 0.9693 Dy
-2.5471 2.5471 5.4635 Dy
6.3722 6.3722 0.9693 Dy
2.5471 -2.5471 5.4635 Dy
5.7337 1.9164 2.3833 Er
-1.9086 -1.9086 4.0495 Er
0.0000 3.8251 0.0000 Er
1.9086 1.9086 4.0495 Er
1.9164 5.7337 2.3833 Er
3.8251 0.0000 0.0000 Er
```

Computed properties:
Relative energy among the computed polymorphs: 0.3348 eV/atom
Size of the total moment: 0.000 μB/cell
Volume: 34.2 Å³ per atom
Formation energy: 485.2 kJ/mol of formula units
D(E_F): 16.43 states/eV/f.u.

[7]
Computed, not measured: La3HoIn after structural relaxation at the GGA-PBE level of DFT.

```
La3HoIn
1.0
-2.4713 2.4164 1.5600
-1.3237 -10.4212 -4.3925
2.3298 3.2128 12.5465
In La Ho
2 6 2
Cartesian
-1.4913 -1.7424 7.2546 In
0.0261 -3.0496 2.4593 In
-2.5998 -1.6767 0.7770 La
0.1346 -6.3645 3.1580 La
-1.5390 -5.2065 7.9338 La
0.0738 0.4145 1.7801 La
1.1346 -3.1153 8.9369 La
-1.5998 1.5725 6.5560 La
-2.7068 -5.1491 1.3767 Ho
1.2416 0.3571 8.3372 Ho
```

Computed properties:
Relative energy among the computed polymorphs: 0.0379 eV/atom
Size of the total moment: 0.000 μB/cell
Volume: 33.5 Å³ per atom
Formation energy: -76.6 kJ/mol of formula units
D(E_F): 7.55 states/eV/f.u.

[8]
Computed, not measured: MnTcI2 after structural relaxation at the GGA-PBE level of DFT.

```
MnTcI2
1.0
3.0678 0.4029 3.8545
-0.6036 -2.9050 3.9532
3.2610 -3.5911 0.9490
Tc Mn I
1 1 2
Cartesian
2.8627 -3.0466 4.3783 Tc
0.0000 0.0000 0.0000 Mn
1.4313 -1.5233 2.1892 I
4.2940 -4.5699 6.5675 I
```

Computed properties:
Formation energy (no corrections): 898 meV/atom
Relative energy among the computed polymorphs: 0.0667 eV/atom
Size of the total moment: 2.180 μB/cell
Volume: 21.3 Å³ per atom
D(E_F): 1.81 states/eV/f.u.

[9]
Computed, not measured: SbMoAs4 after structural relaxation at the GGA-PBE level of DFT.

```
SbMoAs4
1.0
1.0403 -3.8107 -3.8944
2.3096 -4.8435 1.4058
-2.9998 -4.6621 -0.1900
As Mo Sb
4 1 1
Cartesian
-1.3683 -7.3245 -1.0996 As
0.6514 -6.8989 -2.9514 As
1.2859 -7.4152 -0.3018 As
0.1313 -4.9939 -1.0045 As
0.2626 -9.9872 -2.0090 Mo
0.0000 0.0000 0.0000 Sb
```

Computed properties:
Formation energy (no corrections): 769 meV/atom
Size of the total moment: 1.687 μB/cell
Volume: 20.1 Å³ per atom
D(E_F): 5.66 states/eV/f.u.

[10]
Computed, not measured: Rb2SiSI6 after structural relaxation at the GGA-PBE level of DFT.

```
Rb2SiSI6
1.0
-2.4415 7.3352 -2.1307
-7.5979 -2.1022 1.4691
-4.4350 4.4529 5.3213
I S Rb Si
6 1 2 1
Cartesian
-7.4905 3.9044 -0.4936 I
-9.7275 6.2128 2.3540 I
-4.7470 3.4731 2.3057 I
-3.7507 4.9391 -1.2167 I
-6.2888 0.2939 0.5551 I
-2.5490 1.3286 -0.1680 I
0.0000 0.0000 0.0000 S
-5.9481 7.2023 1.4299 Rb
-8.5263 2.4836 3.2298 Rb
-5.0197 2.6165 -0.3308 Si
```

Computed properties:
Formation energy (no corrections): -527 meV/atom
Size of the total moment: 0.000 μB/cell
Volume: 38.4 Å³ per atom
D(E_F): 1.83 states/eV/f.u.

[11]
Computed, not measured: LaMn2Co after structural relaxation at the GGA-PBE level of DFT.

```
LaMn2Co
1.0
4.4168 0.0000 0.0000
0.0000 4.4168 0.0000
2.2084 2.2084 8.1587
Mn Co La
4 2 2
Cartesian
2.2078 1.1042 2.0397 Mn
5.5210 4.4162 6.1190 Mn
3.3126 4.4174 6.1190 Mn
2.2090 3.3126 2.0397 Mn
2.2084 2.2084 0.0000 Co
2.2084 4.4168 4.0793 Co
0.0000 0.0000 0.0000 La
4.4168 2.2084 4.0793 La
```

Computed properties:
Size of the total moment: 8.078 μB/cell
Volume: 19.9 Å³ per atom
Formation energy: 203.6 kJ/mol of formula units
D(E_F): 5.56 states/eV/f.u.

[12]
Computed, not measured: Cs9Rb3H2 after structural relaxation at the GGA-PBE level of DFT.

```
Cs9Rb3H2
1.0
-2.0434 11.0337 -7.0062
-7.5842 5.9298 9.0731
9.7956 6.9267 5.5741
Cs H Rb
18 4 6
Cartesian
0.8439 6.7112 -0.4169 Cs
-0.7501 8.9423 5.6551 Cs
-1.5874 18.5120 3.9100 Cs
-2.9471 12.4356 -3.7975 Cs
-4.8323 8.2673 9.2764 Cs
3.1152 11.4545 11.4386 Cs
-2.4733 5.8283 2.4167 Cs
7.9939 9.7783 4.2703 Cs
5.0004 15.6228 -1.6354 Cs
-1.8275 10.3816 1.1786 Cs
2.6414 18.0619 5.2244 Cs
-2.6152 13.9699 5.1213 Cs
-0.6759 17.1790 8.0579 Cs
-7.8258 14.1119 3.3708 Cs
2.7833 9.9202 2.5198 Cs
1.9956 13.5085 6.4624 Cs
0.9181 14.9479 1.9860 Cs
1.7555 5.3781 3.7310 Cs
0.0555 7.8843 2.5217 H
0.0286 4.0608 1.2988 H
0.1126 16.0058 5.1193 H
0.1395 19.8294 6.3422 H
-5.6524 9.5974 4.4253 Rb
-3.8814 15.2744 0.3600 Rb
-1.6449 12.2406 9.7961 Rb
4.0495 8.6158 7.2810 Rb
5.8205 14.2928 3.2157 Rb
1.8130 11.6496 -2.1551 Rb
```

Computed properties:
Size of the total moment: 0.000 μB/cell
VASP energy: -35.0 eV for the cell shown
Volume: 81.5 Å³ per atom
D(E_F): 11.18 states/eV/f.u.

[13]
Computed, not measured: FeBiOs3 after structural relaxation at the GGA-PBE level of DFT.

```
FeBiOs3
1.0
-2.1324 1.1387 -3.8105
-1.4265 -4.2550 -0.4732
-3.7124 0.9809 2.3706
Os Bi Fe
3 1 1
Cartesian
-1.8562 0.4904 1.1853 Os
-1.0662 0.5693 -1.9053 Os
-0.7132 -2.1275 -0.2366 Os
-3.6356 -1.0677 -0.9566 Bi
0.0000 0.0000 0.0000 Fe
```

Computed properties:
Relative energy among the computed polymorphs: 0.0000 eV/atom
Size of the total moment: 0.000 μB/cell
Volume: 18.4 Å³ per atom
Formation energy: 773.2 kJ/mol of formula units
D(E_F): 5.31 states/eV/f.u.

[14]
Computed, not measured: KSiMo2 after structural relaxation at the GGA-PBE level of DFT.

```
KSiMo2
1.0
5.4734 -0.0165 -0.0627
-2.6605 5.1913 0.0274
0.1525 0.6687 2.5426
Mo K Si
2 1 1
Cartesian
0.0000 0.0000 0.0000 Mo
2.8129 0.3261 1.2399 Mo
1.4065 2.5874 -0.0177 K
-1.2540 2.9300 1.2850 Si
```

Computed properties:
Formation energy (no corrections): 1187 meV/atom
Size of the total moment: 0.000 μB/cell
Volume: 18.0 Å³ per atom
D(E_F): 4.15 states/eV/f.u.

[15]
Computed, not measured: CeTaSi2Rh5 after structural relaxation at the GGA-PBE level of DFT.

```
CeTaSi2Rh5
1.0
4.0450 0.0000 0.0000
0.0000 4.0450 0.0000
0.0000 0.0000 10.3292
Rh Si Ce Ta
5 2 1 1
Cartesian
2.0225 0.0000 8.6748 Rh
2.0225 2.0225 5.1646 Rh
0.0000 2.0225 8.6748 Rh
2.0225 0.0000 1.6544 Rh
0.0000 2.0225 1.6544 Rh
2.0225 2.0225 7.4996 Si
2.0225 2.0225 2.8296 Si
0.0000 0.0000 5.1646 Ce
0.0000 0.0000 0.0000 Ta
```

Computed properties:
Formation energy (no corrections): -595 meV/atom
Size of the total moment: 0.660 μB/cell
Volume: 18.8 Å³ per atom
D(E_F): 8.89 states/eV/f.u.

[16]
Computed, not measured: MgAgMoRh2 after structural relaxation at the GGA-PBE level of DFT.

```
MgAgMoRh2
1.0
4.5205 0.0000 0.0000
0.0000 4.5274 0.0000
0.0000 0.0000 4.5205
Mo Mg Rh Ag
1 1 2 1
Cartesian
2.2602 2.2637 2.2602 Mo
0.0000 0.0000 0.0000 Mg
0.0000 0.0000 2.2602 Rh
2.2602 0.0000 0.0000 Rh
0.0000 2.2637 0.0000 Ag
```

Computed properties:
Size of the total moment: 3.113 μB/cell
Volume: 18.5 Å³ per atom
Formation energy: 590.6 kJ/mol of formula units
D(E_F): 4.07 states/eV/f.u.

[17]
Computed, not measured: KAg2As after structural relaxation at the GGA-PBE level of DFT.

```
KAg2As
1.0
-0.6167 4.6488 0.6112
-3.5496 2.2269 -2.1924
-4.8841 1.2309 4.0460
Ag As K
2 1 1
Cartesian
-4.2318 1.4219 3.1988 Ag
-6.7843 6.0761 1.8484 Ag
-5.1469 3.8677 2.0432 As
-2.2965 2.0254 0.6528 K
```

Computed properties:
Size of the total moment: 0.000 μB/cell
Volume: 28.3 Å³ per atom
Formation energy: -47.5 kJ/mol of formula units
D(E_F): 0.67 states/eV/f.u.

[18]
Computed, not measured: GdGaCuAu after structural relaxation at the GGA-PBE level of DFT.

```
GdGaCuAu
1.0
-4.3869 -0.8040 1.6705
-3.4734 -1.3324 -2.9736
-1.7062 -4.4432 0.1700
Gd Ga Cu Au
1 1 1 1
Cartesian
0.0000 0.0000 0.0000 Gd
-4.7832 -3.2898 -0.5665 Ga
-2.3916 -1.6449 -0.2833 Cu
-7.1748 -4.9347 -0.8498 Au
```

Computed properties:
Size of the total moment: 7.145 μB/cell
Volume: 19.1 Å³ per atom
Formation energy: -173.6 kJ/mol of formula units
D(E_F): 2.22 states/eV/f.u.

[19]
Computed, not measured: ZrSc2Cl2 after structural relaxation at the GGA-PBE level of DFT.

```
ZrSc2Cl2
1.0
-0.8997 2.1550 3.5057
-2.8021 -2.9489 1.0936
2.8672 -3.6822 5.5301
Cl Sc Zr
2 2 1
Cartesian
-0.8929 -3.5140 4.4616 Cl
0.0583 -0.9620 5.6677 Cl
-0.7200 -1.1844 3.0739 Sc
-0.1146 -3.2916 7.0554 Sc
0.0000 0.0000 0.0000 Zr
```

Computed properties:
Formation energy (no corrections): -532 meV/atom
Relative energy among the computed polymorphs: 0.0000 eV/atom
Size of the total moment: 3.536 μB/cell
Volume: 23.4 Å³ per atom
D(E_F): 5.39 states/eV/f.u.

[20]
Computed, not measured: La6GaN2 after structural relaxation at the GGA-PBE level of DFT.

```
La6GaN2
1.0
6.6798 0.0000 0.0000
3.3399 5.7848 0.0000
3.3399 1.9283 6.6925
La Ga N
6 1 2
Cartesian
4.6302 4.1452 1.8693 La
8.8599 3.9591 4.7538 La
5.5009 5.6933 4.7538 La
7.4546 1.9372 1.8693 La
5.6785 1.9172 4.7538 La
7.9545 5.4872 1.8693 La
3.3399 1.9283 0.3063 Ga
6.6798 3.8566 3.3025 N
10.0196 5.7848 3.3117 N
```

Computed properties:
Formation energy (no corrections): -633 meV/atom
Size of the total moment: 0.001 μB/cell
Volume: 28.7 Å³ per atom
D(E_F): 9.47 states/eV/f.u.